(1)
An optimized crystal structure of InS3F. Source: Alexandria, functional PBE.

## Properties
formation energy (no corrections) = 0.60 eV per atom
space-group type = Pm-3m, No. 221

a b c (Å): 5.1279 5.1279 5.1279
angles (deg): 90.00 90.00 90.00
Fractional coordinates of all 5 atoms:
1 In 0.0000 0.0000 0.0000
2 S 0.0000 0.0000 0.5000
3 S 0.0000 0.5000 0.0000
4 S 0.5000 0.0000 0.0000
5 F 0.5000 0.5000 0.5000

(2)
An optimized crystal structure of In3SF. Source: Alexandria, functional PBE.

## Properties
formation energy (no corrections) = -0.51 eV per atom
space-group type = Pm-3m, No. 221

a b c (Å): 5.0978 5.0978 5.0978
angles (deg): 90.00 90.00 90.00
Fractional coordinates of all 5 atoms:
1 In 0.0000 0.0000 0.5000
2 In 0.0000 0.5000 0.0000
3 In 0.5000 0.0000 0.0000
4 S 0.5000 0.5000 0.5000
5 F 0.0000 0.0000 0.0000